A PBEsol-optimized structure of Ba3SiIr, computed with meta-GGA SCAN.

Total energy = -196.236 eV/f.u.
Uncorrected formation energy = 0.71 eV per atom
Space group = Pm-3m
Magnetization = 0.19 μB per cell
N(E_F) = 1.17 states/eV/atom

a b c (Å): 5.9696 5.9696 5.9696
angles (deg): 90.00 90.00 90.00
Last column: nearest neighbours and their distance in Å.
Fractional coordinates of all 5 atoms:
Ba  0.0000  0.0000  0.5000  2 Si 2.98
Ba  0.0000  0.5000  0.0000  2 Si 2.98
Ba  0.5000  0.0000  0.0000  2 Si 2.98
Si  0.0000  0.0000  0.0000  6 Ba 2.98
Ir  0.5000  0.5000  0.5000  12 Ba 4.22